[1]
DFT (PBE-GGA) results for CsNiAgS3 after structural relaxation.

It has space group Cmcm (No. 63), with a = 3.600 Å, b = 15.597 Å, c = 10.125 Å, α = 90.00°, β = 90.00° and γ = 90.00°. The inequivalent atoms are Cs at (0.000, 0.237, 0.250), Ni at (0.000, 0.500, 0.000), Ag at (0.000, 0.065, 0.750), S at (0.000, 0.093, 0.515) and S at (0.000, 0.452, 0.750).

Its uncorrected energy is -92.01 eV for the cell shown. As for the total magnetic moment: 0.05 μB per formula unit.

[2]
DFT (PBE-GGA) results for TmZn after structural relaxation.

It has space group Pmmn (No. 59, origin choice 2), with a = 3.615 Å, b = 4.989 Å, c = 9.680 Å, α = 90.00°, β = 90.00° and γ = 90.00°. The inequivalent atoms are Tm at (0.250, 0.250, 0.043), Tm at (0.250, 0.750, 0.281), Zn at (0.250, 0.250, 0.477) and Zn at (0.250, 0.750, 0.715).

As for the total magnetic moment: 0.00 μB per formula unit. For the formation energy from the elements, the calculation gives -0.188 eV/atom.

[3]
DFT (PBE-GGA) results for Sc3CuC after structural relaxation.

It has space group Pm-3m (No. 221), with a = 4.479 Å, b = 4.479 Å, c = 4.479 Å, α = 90.00°, β = 90.00° and γ = 90.00°. The inequivalent atoms are Sc at (0.000, 0.000, 0.500), Cu at (0.500, 0.500, 0.500) and C at (0.000, 0.000, 0.000).

Its uncorrected energy is -33.33 eV for the cell shown. As for the total magnetic moment: 1.75 μB per formula unit.